1.
# Ba2Na2As4Pd, optimized geometry, DFT PBE
# Volume (Å³ per cell): 467
# Density (g cm⁻³): 5.2
# Spin magnetization (μB/cell): 0.00
# Total energy (eV per cell): -71.09
# Energy of formation (eV per formula unit): -5.3
data_Ba2Na2As4Pd
_chemical_formula_sum 'Ba4 Na4 As8 Pd2'
_cell_length_a 6.996
_cell_length_b 6.996
_cell_length_c 9.537
_cell_angle_alpha 90.00
_cell_angle_beta 90.00
_cell_angle_gamma 90.00
_space_group_name_H-M_alt 'I 4/m m m'
_space_group_IT_number 139
_space_group_name_Hall '-I 4 2'
loop_
_atom_site_label
_atom_site_type_symbol
_atom_site_fract_x
_atom_site_fract_y
_atom_site_fract_z
_atom_site_occupancy
Ba1 Ba 0.000 0.500 0.250 1
Na1 Na 0.000 0.000 0.192 1
As1 As 0.245 0.245 0.000 1
Pd1 Pd 0.000 0.000 0.500 1


2.
# Ba2NaAs4Pd3, optimized geometry, DFT PBE
# Volume (Å³ per cell): 227
# Density (g cm⁻³): 6.7
# Spin magnetization (μB/cell): 0.00
# Total energy (eV per cell): -46.43
# Energy of formation (eV per formula unit): -7.1
data_Ba2NaAs4Pd3
_chemical_formula_sum 'Ba2 Na1 As4 Pd3'
_cell_length_a 4.631
_cell_length_b 4.631
_cell_length_c 10.571
_cell_angle_alpha 90.00
_cell_angle_beta 90.00
_cell_angle_gamma 90.00
_space_group_name_H-M_alt 'P -4 m 2'
_space_group_IT_number 115
loop_
_space_group_symop_operation_xyz
'x,y,z'
'y,-x,-z'
'-x,-y,z'
'-y,x,-z'
'-x,y,z'
'-y,-x,-z'
'x,-y,z'
'y,x,-z'
loop_
_atom_site_label
_atom_site_type_symbol
_atom_site_fract_x
_atom_site_fract_y
_atom_site_fract_z
_atom_site_occupancy
Ba1 Ba 0.000 0.500 0.246 1
Na1 Na 0.000 0.000 0.500 1
As1 As 0.000 0.000 0.000 1
As2 As 0.000 0.500 0.646 1
As3 As 0.500 0.500 0.000 1
Pd1 Pd 0.000 0.500 0.890 1
Pd2 Pd 0.500 0.500 0.500 1